Computed, not measured: MnHg3As after structural relaxation at the PBE level of DFT.

Properties
- V (Å³ per cell) = 136.1
- ΔE_f (eV/atom) = 0.712
- final energy (eV for the cell shown) = -11.17
- relative energy among the computed polymorphs (eV per atom) = 0.014
- magnetic moment (μB per cell) = 3.58

a b c (Å): 5.1432 5.1432 5.1432
angles (deg): 90.00 90.00 90.00
Last column: nearest neighbours and their distance in Å.
Fractional positions:
Mn 0.0000 0.0000 0.0000  6 Hg 2.57
Hg 0.0000 0.5000 0.0000  2 Mn 2.57
Hg 0.5000 0.0000 0.0000  2 Mn 2.57
Hg 0.0000 0.0000 0.5000  2 Mn 2.57
As 0.5000 0.5000 0.5000  12 Hg 3.64

Computed, not measured: MnHg2As after structural relaxation at the PBE level of DFT.

Properties
- V (Å³ per cell) = 83.5
- ΔE_f (eV/atom) = 0.306
- final energy (eV for the cell shown) = -13.20
- magnetic moment (μB per cell) = 4.03

a b c (Å): 6.1739 6.1739 5.3563
angles (deg): 64.18 64.18 27.23
Last column: nearest neighbours and their distance in Å.
Fractional positions:
Hg 0.4798 0.4798 0.5201  2 Mn 2.86, 6 Hg 2.91-3.08
Hg 0.0202 0.0202 0.9799  2 Mn 2.86, 6 Hg 2.91-3.08
Mn 0.7500 0.7500 0.7500  4 Hg 2.86, 2 Mn 2.91, 4 As 3.05
As 0.2500 0.2500 0.2500  2 As 2.91, 4 Mn 3.05, 4 Hg 3.24

Computed, not measured: Mn2HgAs after structural relaxation at the PBE level of DFT.

Properties
- V (Å³ per cell) = 68.5
- ΔE_f (eV/atom) = 0.281
- final energy (eV for the cell shown) = -22.17
- relative energy among the computed polymorphs (eV per atom) = 0.111
- magnetic moment (μB per cell) = 6.91

a b c (Å): 4.8975 4.8975 4.8975
angles (deg): 135.04 121.96 76.30
Last column: nearest neighbours and their distance in Å.
Fractional positions:
Mn 0.5224 0.5224 0.0000  2 As 2.57, 2 Hg 2.81
Mn 0.9776 0.9776 0.0000  2 As 2.57, 2 Hg 2.81
Hg 0.2500 0.7500 0.5000  8 Mn 2.81-2.95, 4 As 3.03
As 0.7500 0.2500 0.5000  4 Mn 2.57

Computed, not measured: MnHg2As after structural relaxation at the PBE level of DFT.

Properties
- V (Å³ per cell) = 84.6
- ΔE_f (eV/atom) = 0.131
- final energy (eV for the cell shown) = -13.90
- magnetic moment (μB per cell) = 3.16

a b c (Å): 3.2137 3.2137 8.1865
angles (deg): 90.00 90.00 90.00
Last column: nearest neighbours and their distance in Å.
Fractional positions:
As 0.5000 0.5000 0.6793  4 Mn 2.52
Hg 0.0000 0.0000 0.9849  8 Hg 3.21-3.38, 4 As 3.38, 1 Mn 3.60
Hg 0.5000 0.5000 0.2902  4 Mn 3.09, 1 As 3.19, 8 Hg 3.21-3.38
Mn 0.0000 0.0000 0.5456  4 As 2.52

Computed, not measured: MnHgAs2 after structural relaxation at the PBE level of DFT.

Properties
- V (Å³ per cell) = 77.1
- ΔE_f (eV/atom) = 0.345
- final energy (eV for the cell shown) = -17.39
- magnetic moment (μB per cell) = 3.71

a b c (Å): 5.2551 5.2551 5.2551
angles (deg): 132.61 132.61 69.27
Last column: nearest neighbours and their distance in Å.
Fractional positions:
Mn 0.7500 0.2500 0.5000  4 Hg 2.99, 8 As 3.02
As 0.0000 0.0000 0.0000  4 As 2.99, 4 Mn 3.02, 4 Hg 3.02
As 0.5000 0.5000 0.0000  4 As 2.99, 4 Hg 3.02, 4 Mn 3.02
Hg 0.2500 0.7500 0.5000  4 Mn 2.99, 8 As 3.02

Computed, not measured: MnHgAs2 after structural relaxation at the PBE level of DFT.

Properties
- V (Å³ per cell) = 190.8
- ΔE_f (eV/atom) = 0.279
- final energy (eV for the cell shown) = -35.31
- magnetic moment (μB per cell) = 0.00

a b c (Å): 5.8807 5.8807 6.9096
angles (deg): 64.81 64.81 90.00
Last column: nearest neighbours and their distance in Å.
Fractional positions:
Mn 0.2500 0.7500 0.5000  4 As 2.25
Mn 0.5000 0.5000 0.0000  4 As 2.25
As 0.8750 0.7965 0.7500  2 Mn 2.25
As 0.3750 0.4535 0.7500  2 Mn 2.25
As 0.2035 0.6250 0.2500  2 Mn 2.25
As 0.5465 0.1250 0.2500  2 Mn 2.25
Hg 0.7500 0.2500 0.5000  4 As 2.79
Hg 0.0000 0.0000 0.0000  4 As 2.79

Computed, not measured: Mn2HgAs after structural relaxation at the PBE level of DFT.

Properties
- V (Å³ per cell) = 71.6
- ΔE_f (eV/atom) = 0.220
- final energy (eV for the cell shown) = -22.41
- relative energy among the computed polymorphs (eV per atom) = 0.049
- magnetic moment (μB per cell) = 6.59

a b c (Å): 3.2359 3.5637 6.2098
angles (deg): 90.00 90.00 90.00
Last column: nearest neighbours and their distance in Å.
Fractional positions:
As 0.0000 0.6251 0.2955  6 Mn 2.47-2.51
Hg 0.5000 0.6249 0.7746  6 Mn 2.85-2.89
Mn 0.0000 0.1250 0.0211  2 As 2.47
Mn 0.5000 0.1250 0.4087  4 As 2.51

Computed, not measured: Mn2HgAs after structural relaxation at the PBE level of DFT.

Properties
- V (Å³ per cell) = 73.9
- ΔE_f (eV/atom) = 0.595
- final energy (eV for the cell shown) = -20.91
- relative energy among the computed polymorphs (eV per atom) = 0.425
- magnetic moment (μB per cell) = 8.00

a b c (Å): 4.7108 4.7108 4.7108
angles (deg): 60.00 60.00 60.00
Last column: nearest neighbours and their distance in Å.
Fractional positions:
Hg 0.7500 0.7500 0.7500  4 As 2.88, 4 Mn 2.88
Mn 0.0000 0.0000 0.0000  4 Mn 2.88, 4 Hg 2.88
Mn 0.2500 0.2500 0.2500  4 Mn 2.88, 4 As 2.88
As 0.5000 0.5000 0.5000  4 Hg 2.88, 4 Mn 2.88

Computed, not measured: MnHg2As after structural relaxation at the PBE level of DFT.

Properties
- V (Å³ per cell) = 83.4
- ΔE_f (eV/atom) = 0.358
- final energy (eV for the cell shown) = -12.99
- magnetic moment (μB per cell) = 4.20

a b c (Å): 3.8859 3.8969 5.5097
angles (deg): 90.00 90.00 90.00
Last column: nearest neighbours and their distance in Å.
Fractional positions:
Mn 0.5000 0.5000 0.2500  2 As 2.75, 8 Hg 3.07
As 0.5000 0.5000 0.7500  2 Mn 2.75, 8 Hg 3.08
Hg 0.0000 0.0000 0.4984  2 Hg 2.74-2.77
Hg 0.0000 0.0000 0.0016  2 Hg 2.74-2.77

Computed, not measured: MnHgAs2 after structural relaxation at the PBE level of DFT.

Properties
- V (Å³ per cell) = 78.1
- ΔE_f (eV/atom) = 0.274
- final energy (eV for the cell shown) = -17.68
- magnetic moment (μB per cell) = 3.09

a b c (Å): 2.9412 2.9412 9.1655
angles (deg): 90.00 90.00 99.77
Last column: nearest neighbours and their distance in Å.
Fractional positions:
As 0.0000 0.0000 0.9372  4 Mn 2.49-2.77
As 0.5000 0.5000 0.2714  4 As 2.94, 4 Hg 3.03-3.27
Hg 0.0000 0.0000 0.5300  4 Mn 2.84-3.09, 4 Hg 2.94, 2 As 3.03
Mn 0.5000 0.5000 0.7614  4 As 2.49-2.77

Computed, not measured: MnHg2As after structural relaxation at the PBE level of DFT.

Properties
- V (Å³ per cell) = 81.3
- ΔE_f (eV/atom) = 0.350
- final energy (eV for the cell shown) = -13.02
- magnetic moment (μB per cell) = 3.95

a b c (Å): 5.3639 5.3639 5.3639
angles (deg): 132.90 132.90 68.81
Last column: nearest neighbours and their distance in Å.
Fractional positions:
As 0.7500 0.2500 0.5000  8 Hg 3.03-3.08, 4 Mn 3.08
Hg 0.2500 0.7500 0.5000  4 As 3.03, 4 Mn 3.08, 4 Hg 3.08
Hg 0.0000 0.0000 0.0000  4 Mn 3.03, 4 As 3.08, 4 Hg 3.08
Mn 0.5000 0.5000 0.0000  8 Hg 3.03-3.08, 4 As 3.08

Computed, not measured: MnHgAs2 after structural relaxation at the PBE level of DFT.

Properties
- V (Å³ per cell) = 83.4
- ΔE_f (eV/atom) = 0.016
- final energy (eV for the cell shown) = -18.71
- magnetic moment (μB per cell) = 2.66

a b c (Å): 3.4174 2.7330 8.9327
angles (deg): 89.55 90.00 90.00
Last column: nearest neighbours and their distance in Å.
Fractional positions:
Hg 0.5000 0.2500 0.2500  2 Hg 2.73
As 0.0000 0.2454 0.9164  4 Mn 2.64-2.65, 2 As 2.73
As 0.0000 0.2546 0.5836  4 Mn 2.64-2.65, 2 As 2.73
Mn 0.5000 0.7500 0.7500  8 As 2.64-2.65, 2 Mn 2.73

Computed, not measured: MnHgAs2 after structural relaxation at the PBE level of DFT.

Properties
- V (Å³ per cell) = 78.7
- ΔE_f (eV/atom) = 0.451
- final energy (eV for the cell shown) = -16.97
- magnetic moment (μB per cell) = 3.86

a b c (Å): 4.8093 4.8093 4.8093
angles (deg): 60.00 60.00 60.00
Last column: nearest neighbours and their distance in Å.
Fractional positions:
Hg 0.5000 0.5000 0.5000  4 As 2.95, 4 Mn 2.95
Mn 0.2500 0.2500 0.2500  4 Hg 2.95, 4 As 2.95
As 0.7500 0.7500 0.7500  4 Hg 2.95, 4 As 2.95
As 0.0000 0.0000 0.0000  4 Mn 2.95, 4 As 2.95

Computed, not measured: MnHg2As after structural relaxation at the PBE level of DFT.

Properties
- V (Å³ per cell) = 87.0
- ΔE_f (eV/atom) = 0.278
- final energy (eV for the cell shown) = -13.31
- magnetic moment (μB per cell) = 3.90

a b c (Å): 6.1315 6.1315 3.9420
angles (deg): 70.37 70.37 123.53
Last column: nearest neighbours and their distance in Å.
Fractional positions:
Hg 0.0000 0.0000 0.0000  4 Hg 2.78-2.90, 2 As 3.04, 2 Mn 3.04
Hg 0.5000 0.5000 0.0000  4 Hg 2.78-2.90, 2 Mn 3.04, 2 As 3.04
As 0.0000 0.5000 0.5000  4 Mn 2.78-2.90, 4 Hg 3.04
Mn 0.5000 0.0000 0.5000  4 As 2.78-2.90, 4 Hg 3.04

Computed, not measured: MnHgAs2 after structural relaxation at the PBE level of DFT.

Properties
- V (Å³ per cell) = 77.5
- ΔE_f (eV/atom) = 0.336
- final energy (eV for the cell shown) = -17.43
- magnetic moment (μB per cell) = 3.77

a b c (Å): 4.6256 4.6256 3.7022
angles (deg): 90.00 90.00 101.89
Last column: nearest neighbours and their distance in Å.
Fractional positions:
As 0.5000 0.5000 0.0000  2 As 2.91, 4 Hg 2.96, 4 Mn 2.96
As 0.0000 0.0000 0.0000  2 As 2.91, 4 Mn 2.96, 4 Hg 2.96
Mn 0.0000 0.5000 0.5000  2 Hg 2.91, 8 As 2.96
Hg 0.5000 0.0000 0.5000  2 Mn 2.91, 8 As 2.96

Computed, not measured: Mn2HgAs after structural relaxation at the PBE level of DFT.

Properties
- V (Å³ per cell) = 67.9
- ΔE_f (eV/atom) = 0.278
- final energy (eV for the cell shown) = -22.18
- relative energy among the computed polymorphs (eV per atom) = 0.107
- magnetic moment (μB per cell) = 7.13

a b c (Å): 4.6997 4.6997 3.1324
angles (deg): 89.91 89.91 101.03
Last column: nearest neighbours and their distance in Å.
Fractional positions:
Mn 0.5000 0.5000 0.0000  4 Hg 2.82-2.83, 4 As 2.82-2.83, 4 Mn 2.99-3.13
Mn 0.0000 0.0000 0.0000  4 As 2.82-2.83, 4 Hg 2.82-2.83, 4 Mn 2.99-3.13
Hg 0.0000 0.5000 0.5000  8 Mn 2.82-2.83, 2 As 2.99, 2 Hg 3.13
As 0.5000 0.0000 0.5000  8 Mn 2.82-2.83, 2 Hg 2.99, 2 As 3.13

Computed, not measured: MnHg3As after structural relaxation at the PBE level of DFT.

Properties
- V (Å³ per cell) = 150.8
- ΔE_f (eV/atom) = 0.698
- final energy (eV for the cell shown) = -11.24
- relative energy among the computed polymorphs (eV per atom) = 0.000
- magnetic moment (μB per cell) = 4.87

a b c (Å): 5.3222 5.3222 5.3222
angles (deg): 90.00 90.00 90.00
Last column: nearest neighbours and their distance in Å.
Fractional positions:
Hg 0.0000 0.5000 0.0000  2 As 2.66
Hg 0.5000 0.0000 0.0000  2 As 2.66
Hg 0.0000 0.0000 0.5000  2 As 2.66
As 0.0000 0.0000 0.0000  6 Hg 2.66
Mn 0.5000 0.5000 0.5000  12 Hg 3.76

Computed, not measured: MnHgAs2 after structural relaxation at the PBE level of DFT.

Properties
- V (Å³ per cell) = 77.4
- ΔE_f (eV/atom) = 0.261
- final energy (eV for the cell shown) = -17.73
- magnetic moment (μB per cell) = 3.18

a b c (Å): 3.3159 3.3159 7.0435
angles (deg): 90.00 90.00 90.00
Last column: nearest neighbours and their distance in Å.
Fractional positions:
As 0.0000 0.0000 0.9573  4 Mn 2.53
As 0.5000 0.5000 0.2006  1 Mn 2.67, 4 As 2.90
Mn 0.5000 0.5000 0.8219  5 As 2.53-2.67
Hg 0.0000 0.0000 0.5201  5 As 3.08-3.25, 4 Mn 3.17, 4 Hg 3.32

Computed, not measured: Mn2HgAs after structural relaxation at the PBE level of DFT.

Properties
- V (Å³ per cell) = 57.4
- ΔE_f (eV/atom) = 0.655
- final energy (eV for the cell shown) = -20.67
- relative energy among the computed polymorphs (eV per atom) = 0.484
- magnetic moment (μB per cell) = 0.00

a b c (Å): 4.3305 4.3305 4.3305
angles (deg): 60.00 60.00 60.00
Last column: nearest neighbours and their distance in Å.
Fractional positions:
Hg 0.5000 0.5000 0.5000  8 Mn 2.65
As 0.0000 0.0000 0.0000  8 Mn 2.65
Mn 0.7500 0.7500 0.7500  4 Hg 2.65, 4 As 2.65
Mn 0.2500 0.2500 0.2500  4 Hg 2.65, 4 As 2.65

Computed, not measured: MnHgAs4 after structural relaxation at the PBE level of DFT.

Properties
- V (Å³ per cell) = 125.9
- ΔE_f (eV/atom) = 0.486
- final energy (eV for the cell shown) = -25.16
- magnetic moment (μB per cell) = 4.86

a b c (Å): 5.6251 5.6251 5.6251
angles (deg): 60.00 60.00 60.00
Last column: nearest neighbours and their distance in Å.
Fractional positions:
As 0.3754 0.8739 0.3754  6 As 2.80-2.82
As 0.8739 0.3754 0.3754  6 As 2.80-2.82
As 0.3754 0.3754 0.8739  6 As 2.80-2.82
As 0.3754 0.3754 0.3754  6 As 2.80-2.82
Mn 0.0000 0.0000 0.0000  12 As 3.30, 4 Hg 3.44
Hg 0.7500 0.7500 0.7500  12 As 3.30, 4 Mn 3.44